1.
This record from Alexandria describes a geometry-optimized NaCd2BiBr structure. The functional is PBEsol.

Results
E_form (uncorrected) = 38 meV/atom

```
NaCd2BiBr
1.0
5.736 0.000 0.000
0.000 5.736 0.000
0.000 0.000 6.000
Na Cd Bi Br
1 2 1 1
Direct
0.000 0.000 0.000 Na
0.000 0.500 0.500 Cd
0.500 0.000 0.500 Cd
0.500 0.500 0.500 Bi
0.500 0.500 0.000 Br
```

2.
This record from Alexandria describes a geometry-optimized Tc2PRu structure. The functional is PBEsol.

Results
DFT formation energy = 116 meV/atom

```
Tc2PRu
1.0
0.000 2.979 2.979
2.979 0.000 2.979
2.979 2.979 0.000
Tc P Ru
2 1 1
Direct
0.000 0.000 0.000 Tc
0.250 0.250 0.250 Tc
0.750 0.750 0.750 P
0.500 0.500 0.500 Ru
```

3.
This record from Alexandria describes a geometry-optimized Rb2YInCl6 structure. The functional is PBEsol.

Results
E_form (uncorrected) = -1826 meV/atom

```
Rb2YInCl6
1.0
0.000 5.561 5.561
5.561 0.000 5.561
5.561 5.561 0.000
Rb Y In Cl
2 1 1 6
Direct
0.250 0.250 0.250 Rb
0.750 0.750 0.750 Rb
0.000 0.000 0.000 Y
0.500 0.500 0.500 In
0.234 0.234 0.766 Cl
0.234 0.766 0.234 Cl
0.234 0.766 0.766 Cl
0.766 0.234 0.234 Cl
0.766 0.234 0.766 Cl
0.766 0.766 0.234 Cl
```

4.
This record from Alexandria describes a geometry-optimized K2Mo15Se19 structure. The functional is PBEsol.

Results
E_form (uncorrected) = -624 meV/atom

```
K2Mo15Se19
1.0
4.820 2.783 19.356
-4.820 2.783 19.356
0.000 -5.565 19.356
K Mo Se
4 30 38
Direct
0.113 0.113 0.113 K
0.387 0.387 0.387 K
0.613 0.613 0.613 K
0.887 0.887 0.887 K
0.002 0.128 0.811 Mo
0.047 0.363 0.222 Mo
0.090 0.250 0.410 Mo
0.128 0.811 0.002 Mo
0.137 0.453 0.278 Mo
0.189 0.998 0.872 Mo
0.222 0.047 0.363 Mo
0.250 0.410 0.090 Mo
0.278 0.137 0.453 Mo
0.311 0.628 0.502 Mo
0.363 0.222 0.047 Mo
0.372 0.498 0.689 Mo
0.410 0.090 0.250 Mo
0.453 0.278 0.137 Mo
0.498 0.689 0.372 Mo
0.502 0.311 0.628 Mo
0.547 0.722 0.863 Mo
0.590 0.910 0.750 Mo
0.628 0.502 0.311 Mo
0.637 0.778 0.953 Mo
0.689 0.372 0.498 Mo
0.722 0.863 0.547 Mo
0.750 0.590 0.910 Mo
0.778 0.953 0.637 Mo
0.811 0.002 0.128 Mo
0.863 0.547 0.722 Mo
0.872 0.189 0.998 Mo
0.910 0.750 0.590 Mo
0.953 0.637 0.778 Mo
0.998 0.872 0.189 Mo
0.034 0.690 0.419 Se
0.054 0.054 0.054 Se
0.056 0.304 0.689 Se
0.059 0.441 0.750 Se
0.081 0.810 0.466 Se
0.176 0.176 0.176 Se
0.189 0.804 0.556 Se
0.190 0.534 0.919 Se
0.196 0.444 0.811 Se
0.250 0.941 0.559 Se
0.304 0.689 0.056 Se
0.310 0.581 0.966 Se
0.311 0.944 0.696 Se
0.324 0.324 0.324 Se
0.419 0.034 0.690 Se
0.441 0.750 0.059 Se
0.444 0.811 0.196 Se
0.446 0.446 0.446 Se
0.466 0.081 0.810 Se
0.534 0.919 0.190 Se
0.554 0.554 0.554 Se
0.556 0.189 0.804 Se
0.559 0.250 0.941 Se
0.581 0.966 0.310 Se
0.676 0.676 0.676 Se
0.689 0.056 0.304 Se
0.690 0.419 0.034 Se
0.696 0.311 0.944 Se
0.750 0.059 0.441 Se
0.804 0.556 0.189 Se
0.810 0.466 0.081 Se
0.811 0.196 0.444 Se
0.824 0.824 0.824 Se
0.919 0.190 0.534 Se
0.941 0.559 0.250 Se
0.944 0.696 0.311 Se
0.946 0.946 0.946 Se
0.966 0.310 0.581 Se
```

5.
This record from Alexandria describes a geometry-optimized La2In2Pb structure. The functional is PBEsol.

Results
DFT formation energy = -22 meV/atom

```
La2In2Pb
1.0
-2.432 2.432 6.859
2.432 -2.432 6.859
2.432 2.432 -6.859
La In Pb
2 2 1
Direct
0.250 0.750 0.500 La
0.750 0.250 0.500 La
0.096 0.096 0.000 In
0.904 0.904 0.000 In
0.500 0.500 0.000 Pb
```

6.
This record from Alexandria describes a geometry-optimized CoCuNi2 structure. The functional is PBEsol.

Results
DFT formation energy = 36 meV/atom

```
CoCuNi2
1.0
2.462 0.000 0.000
0.000 3.464 0.000
0.000 0.000 4.952
Co Cu Ni
1 1 2
Direct
0.000 0.000 0.000 Co
0.000 0.000 0.500 Cu
0.500 0.500 0.244 Ni
0.500 0.500 0.756 Ni
```

7.
This record from Alexandria describes a geometry-optimized SrLi3Br structure. The functional is PBEsol.

Results
E_form (uncorrected) = -344 meV/atom

```
SrLi3Br
1.0
5.286 0.000 0.000
0.000 5.286 0.000
0.000 0.000 5.286
Sr Li Br
1 3 1
Direct
0.000 0.000 0.000 Sr
0.000 0.500 0.500 Li
0.500 0.000 0.500 Li
0.500 0.500 0.000 Li
0.500 0.500 0.500 Br
```

8.
This record from Alexandria describes a geometry-optimized Cr2CoSnF structure. The functional is PBEsol.

Results
E_form (uncorrected) = 267 meV/atom

```
Cr2CoSnF
1.0
4.231 0.000 0.000
0.000 4.231 0.000
0.000 0.000 4.091
Cr Co Sn F
2 1 1 1
Direct
0.000 0.500 0.000 Cr
0.500 0.000 0.000 Cr
0.000 0.000 0.500 Co
0.500 0.500 0.500 Sn
0.000 0.000 0.000 F
```

9.
This record from Alexandria describes a geometry-optimized LiCdBSe2 structure. The functional is PBEsol.

Results
E_form (uncorrected) = 327 meV/atom

```
LiCdBSe2
1.0
4.566 0.000 0.000
0.000 4.566 0.000
0.000 0.000 4.187
Li Cd B Se
1 1 1 2
Direct
0.000 0.000 0.000 Li
0.500 0.500 0.000 Cd
0.000 0.000 0.500 B
0.000 0.500 0.500 Se
0.500 0.000 0.500 Se
```

10.
This record from Alexandria describes a geometry-optimized Na2LiMnHg structure. The functional is PBEsol.

Results
DFT formation energy = 665 meV/atom

```
Na2LiMnHg
1.0
5.537 0.000 0.000
0.000 5.537 0.000
0.000 0.000 5.001
Na Li Mn Hg
2 1 1 1
Direct
0.000 0.500 0.000 Na
0.500 0.000 0.000 Na
0.000 0.000 0.500 Li
0.500 0.500 0.500 Mn
0.000 0.000 0.000 Hg
```

11.
This record from Alexandria describes a geometry-optimized Na3NdAs2O8 structure. The functional is PBEsol.

Results
E_form (uncorrected) = -1873 meV/atom

```
Na3NdAs2O8
1.0
5.873 0.000 0.000
-2.937 5.086 0.000
0.000 0.000 7.038
Na Nd As O
3 1 2 8
Direct
0.000 0.000 0.000 Na
0.333 0.667 0.664 Na
0.667 0.333 0.336 Na
0.000 0.000 0.500 Nd
0.333 0.667 0.203 As
0.667 0.333 0.797 As
0.178 0.357 0.302 O
0.178 0.822 0.302 O
0.333 0.667 0.967 O
0.357 0.178 0.698 O
0.643 0.822 0.302 O
0.667 0.333 0.033 O
0.822 0.178 0.698 O
0.822 0.643 0.698 O
```

12.
This record from Alexandria describes a geometry-optimized Na2PPd2 structure. The functional is PBEsol.

Results
DFT formation energy = -352 meV/atom

```
Na2PPd2
1.0
6.104 0.000 0.000
0.000 6.104 0.000
0.000 0.000 4.891
Na P Pd
4 2 4
Direct
0.171 0.329 0.000 Na
0.329 0.829 0.000 Na
0.671 0.171 0.000 Na
0.829 0.671 0.000 Na
0.000 0.000 0.500 P
0.500 0.500 0.500 P
0.160 0.660 0.500 Pd
0.340 0.160 0.500 Pd
0.660 0.840 0.500 Pd
0.840 0.340 0.500 Pd
```

13.
This record from Alexandria describes a geometry-optimized TcRhS2N structure. The functional is PBEsol.

Results
E_form (uncorrected) = 890 meV/atom

```
TcRhS2N
1.0
4.738 0.000 0.000
0.000 4.738 0.000
0.000 0.000 3.555
Tc Rh S N
1 1 2 1
Direct
0.000 0.000 0.000 Tc
0.500 0.500 0.500 Rh
0.000 0.500 0.500 S
0.500 0.000 0.500 S
0.500 0.500 0.000 N
```

14.
This record from Alexandria describes a geometry-optimized HoZnRh structure. The functional is PBEsol.

Results
DFT formation energy = -717 meV/atom

```
HoZnRh
1.0
6.807 0.000 0.000
0.000 3.929 0.000
0.000 0.000 7.989
Ho Zn Rh
4 4 4
Direct
0.041 0.250 0.184 Ho
0.459 0.750 0.684 Ho
0.541 0.250 0.316 Ho
0.959 0.750 0.816 Ho
0.134 0.250 0.563 Zn
0.366 0.750 0.063 Zn
0.634 0.250 0.937 Zn
0.866 0.750 0.437 Zn
0.247 0.750 0.376 Rh
0.253 0.250 0.876 Rh
0.747 0.750 0.124 Rh
0.753 0.250 0.624 Rh
```

15.
This record from Alexandria describes a geometry-optimized Cs3ScF6 structure. The functional is PBEsol.

Results
E_form (uncorrected) = -3294 meV/atom

```
Cs3ScF6
1.0
0.000 4.768 4.768
4.768 0.000 4.768
4.768 4.768 0.000
Cs Sc F
3 1 6
Direct
0.000 0.000 0.000 Cs
0.250 0.250 0.250 Cs
0.750 0.750 0.750 Cs
0.500 0.500 0.500 Sc
0.289 0.289 0.711 F
0.289 0.711 0.289 F
0.289 0.711 0.711 F
0.711 0.289 0.289 F
0.711 0.289 0.711 F
0.711 0.711 0.289 F
```

16.
This record from Alexandria describes a geometry-optimized TaMn4Tc structure. The functional is PBEsol.

Results
DFT formation energy = -128 meV/atom

```
TaMn4Tc
1.0
0.000 3.309 3.309
3.309 0.000 3.309
3.309 3.309 0.000
Ta Mn Tc
1 4 1
Direct
0.000 0.000 0.000 Ta
0.120 0.627 0.627 Mn
0.627 0.120 0.627 Mn
0.627 0.627 0.120 Mn
0.627 0.627 0.627 Mn
0.250 0.250 0.250 Tc
```

17.
This record from Alexandria describes a geometry-optimized MgBeRu2 structure. The functional is PBEsol.

Results
DFT formation energy = 77 meV/atom

```
MgBeRu2
1.0
-1.412 2.196 4.175
1.412 -2.196 4.175
1.412 2.196 -4.175
Mg Be Ru
1 1 2
Direct
0.000 0.000 0.000 Mg
0.500 0.500 0.000 Be
0.286 0.786 0.500 Ru
0.714 0.214 0.500 Ru
```

18.
This record from Alexandria describes a geometry-optimized HfMg2CdF structure. The functional is PBEsol.

Results
E_form (uncorrected) = 899 meV/atom

```
HfMg2CdF
1.0
5.840 0.000 0.000
0.000 5.840 0.000
0.000 0.000 5.434
Hf Mg Cd F
1 2 1 1
Direct
0.000 0.000 0.000 Hf
0.000 0.500 0.000 Mg
0.500 0.000 0.000 Mg
0.000 0.000 0.500 Cd
0.500 0.500 0.500 F
```

19.
This record from Alexandria describes a geometry-optimized Mg2AlIn structure. The functional is PBEsol.

Results
DFT formation energy = -39 meV/atom

```
Mg2AlIn
1.0
3.109 -4.224 0.000
3.109 4.224 0.000
0.000 0.000 3.152
Mg Al In
2 1 1
Direct
0.000 0.500 0.000 Mg
0.500 0.000 0.000 Mg
0.000 0.000 0.500 Al
0.500 0.500 0.500 In
```

20.
This record from Alexandria describes a geometry-optimized SrZr2NbCu structure. The functional is PBEsol.

Results
DFT formation energy = 1193 meV/atom

```
SrZr2NbCu
1.0
4.970 0.000 0.000
0.000 4.970 0.000
0.000 0.000 5.909
Sr Zr Nb Cu
1 2 1 1
Direct
0.000 0.000 0.000 Sr
0.000 0.500 0.500 Zr
0.500 0.000 0.500 Zr
0.000 0.000 0.500 Nb
0.500 0.500 0.000 Cu
```

21.
This record from Alexandria describes a geometry-optimized SbS2F structure. The functional is PBEsol.

Results
E_form (uncorrected) = -283 meV/atom

```
SbS2F
1.0
1.804 1.042 7.465
-1.804 1.042 7.465
0.000 -2.083 7.465
Sb S F
1 2 1
Direct
0.000 0.000 0.000 Sb
0.408 0.408 0.408 S
0.592 0.592 0.592 S
0.500 0.500 0.500 F
```

22.
This record from Alexandria describes a geometry-optimized K2BaHg2 structure. The functional is PBEsol.

Results
DFT formation energy = -217 meV/atom

```
K2BaHg2
1.0
8.623 0.000 0.000
0.000 8.623 0.000
0.000 0.000 5.398
K Ba Hg
4 2 4
Direct
0.165 0.335 0.000 K
0.335 0.835 0.000 K
0.665 0.165 0.000 K
0.835 0.665 0.000 K
0.000 0.000 0.500 Ba
0.500 0.500 0.500 Ba
0.120 0.620 0.500 Hg
0.380 0.120 0.500 Hg
0.620 0.880 0.500 Hg
0.880 0.380 0.500 Hg
```

Number 1: D(E_F) 0.2431 states/eV per atom, DFT total energy -9.760 eV/cell. Number 2: D(E_F) 1.0712 states/eV per atom, DFT total energy -38.034 eV/cell. Number 3: D(E_F) 0.0000 states/eV per atom, DFT total energy -42.161 eV/cell. Number 4: D(E_F) 0.5495 states/eV per atom, DFT total energy -548.835 eV/cell. Number 5: D(E_F) 1.0508 states/eV per atom, DFT total energy -20.765 eV/cell. Number 6: D(E_F) 0.9853 states/eV per atom, DFT total energy -24.241 eV/cell. Number 7: D(E_F) 0.7184 states/eV per atom, DFT total energy -11.330 eV/cell. Number 8: D(E_F) 0.8980 states/eV per atom, DFT total energy -33.074 eV/cell. Number 9: D(E_F) 0.4706 states/eV per atom, DFT total energy -16.245 eV/cell. Number 10: D(E_F) 0.6629 states/eV per atom, DFT total energy -11.767 eV/cell. Number 11: D(E_F) 0.0000 states/eV per atom, DFT total energy -87.799 eV/cell. Number 12: D(E_F) 0.3374 states/eV per atom, DFT total energy -44.534 eV/cell. Number 13: D(E_F) 0.6797 states/eV per atom, DFT total energy -32.248 eV/cell. Number 14: D(E_F) 0.4163 states/eV per atom, DFT total energy -67.287 eV/cell. Number 15: D(E_F) 0.0000 states/eV per atom, DFT total energy -53.940 eV/cell. Number 16: D(E_F) 1.2819 states/eV per atom, DFT total energy -63.629 eV/cell. Number 17: D(E_F) 0.9149 states/eV per atom, DFT total energy -25.755 eV/cell. Number 18: D(E_F) 1.1713 states/eV per atom, DFT total energy -12.569 eV/cell. Number 19: D(E_F) 0.4298 states/eV per atom, DFT total energy -10.665 eV/cell. Number 20: D(E_F) 0.9527 states/eV per atom, DFT total energy -29.210 eV/cell. Number 21: D(E_F) 0.4365 states/eV per atom, DFT total energy -16.385 eV/cell. Number 22: D(E_F) 0.6108 states/eV per atom, DFT total energy -13.264 eV/cell.